CsSrInSe3 | PBE | relaxed

```
CsSrInSe3
1.0
-4.960 1.688 -1.630
-0.477 -1.817 8.805
2.980 8.779 0.019
Se In Cs Sr
6 2 2 2
direct
0.502 0.005 0.276 Se
0.172 0.345 0.326 Se
0.865 0.731 0.271 Se
0.828 0.655 0.674 Se
0.135 0.269 0.729 Se
0.498 0.995 0.724 Se
0.018 0.037 0.289 In
0.982 0.963 0.711 In
0.656 0.312 0.051 Cs
0.344 0.688 0.949 Cs
0.644 0.288 0.551 Sr
0.356 0.712 0.449 Sr
```

**Space group**: C2/m

=====

Cs2TbInSe4 | PBE | relaxed

```
Cs2TbInSe4
1.0
9.064 -0.056 -0.042
-0.062 9.064 -0.042
-4.419 -4.422 6.417
Se In Tb Cs
8 2 2 4
direct
0.231 0.270 0.455 Se
0.769 0.730 0.545 Se
0.229 0.689 0.459 Se
0.770 0.731 0.955 Se
0.811 0.271 0.041 Se
0.230 0.269 0.045 Se
0.771 0.311 0.541 Se
0.189 0.729 0.959 Se
0.500 0.500 0.500 In
0.000 0.000 0.000 In
0.000 0.500 0.000 Tb
0.000 0.500 0.500 Tb
0.500 0.000 0.500 Cs
0.500 0.500 0.000 Cs
0.000 0.000 0.500 Cs
0.500 0.000 0.000 Cs
```

**Space group**: C2/c

=====

CsInTe2Se4 | PBE | relaxed

```
CsInTe2Se4
1.0
7.654 0.000 0.000
3.827 5.941 -0.903
3.827 -0.239 6.004
Se Cs Te In
4 1 2 1
direct
0.000 0.468 0.130 Se
0.402 0.130 0.468 Se
0.598 0.532 0.870 Se
0.000 0.870 0.532 Se
0.000 0.000 0.000 Cs
0.500 0.750 0.250 Te
0.500 0.250 0.750 Te
0.000 0.500 0.500 In
```

**Space group**: I-42m

=====

CsThInSe4 | PBE | relaxed

```
CsThInSe4
1.0
-4.528 5.055 1.942
-1.909 -3.939 5.802
9.024 1.801 4.191
In Se Th Cs
2 8 2 2
direct
0.231 0.750 0.337 In
0.769 0.250 0.663 In
0.479 0.750 0.590 Se
0.969 0.017 0.308 Se
0.521 0.250 0.410 Se
0.554 0.250 0.822 Se
0.969 0.483 0.308 Se
0.446 0.750 0.178 Se
0.031 0.983 0.692 Se
0.031 0.517 0.692 Se
0.223 0.250 0.550 Th
0.777 0.750 0.450 Th
0.747 0.750 0.946 Cs
0.253 0.250 0.054 Cs
```

**Space group**: P2_1/m

=====

CsTmInSe3 | PBE | relaxed

```
CsTmInSe3
1.0
-1.367 0.229 -3.856
8.676 -1.219 -3.149
-5.272 -10.176 1.264
Se In Tm Cs
6 2 2 2
direct
0.750 0.422 0.111 Se
0.750 0.329 0.593 Se
0.250 0.671 0.407 Se
0.250 0.128 0.811 Se
0.250 0.578 0.889 Se
0.750 0.872 0.189 Se
0.250 0.130 0.582 In
0.750 0.870 0.418 In
0.750 0.360 0.856 Tm
0.250 0.640 0.144 Tm
0.250 0.231 0.269 Cs
0.750 0.769 0.731 Cs
```

**Space group**: P2_1/m

=====

Cs2UInSe4 | PBE | relaxed

```
Cs2UInSe4
1.0
-4.574 -4.725 0.977
-1.830 -4.341 -6.942
7.389 -11.124 3.416
U In Cs Se
2 2 4 8
direct
0.000 0.000 0.000 U
0.750 0.500 0.500 U
0.500 0.000 0.000 In
0.250 0.500 0.500 In
0.179 0.000 0.641 Cs
0.571 0.500 0.859 Cs
0.821 0.000 0.359 Cs
0.929 0.500 0.141 Cs
0.166 0.293 0.392 Se
0.540 0.293 0.608 Se
0.584 0.207 0.108 Se
0.308 0.793 0.108 Se
0.442 0.707 0.392 Se
0.210 0.207 0.892 Se
0.852 0.707 0.608 Se
0.898 0.793 0.892 Se
```

**Space group**: Fddd

=====

CsYInSe | PBE | relaxed

```
CsYInSe
1.0
-4.704 -0.548 -8.791
2.653 -2.781 -1.246
-4.115 -5.051 2.512
In Y Cs Se
2 2 2 2
direct
0.591 0.500 0.243 In
0.591 0.000 0.743 In
0.351 0.000 0.410 Y
0.351 0.500 0.910 Y
0.923 0.000 0.079 Cs
0.923 0.500 0.579 Cs
0.186 0.500 0.244 Se
0.186 0.000 0.744 Se
```

**Space group**: Cm
**ΔE to the lowest computed polymorph**: 4.1 kJ per mole of atoms

=====

CsYInSe | PBE | relaxed

```
CsYInSe
1.0
4.053 0.000 0.000
0.000 4.412 0.000
0.000 0.000 16.903
Se Cs In Y
2 2 2 2
direct
0.500 0.000 0.944 Se
0.500 0.500 0.444 Se
0.000 0.500 0.823 Cs
0.000 0.000 0.323 Cs
0.500 0.500 0.133 In
0.500 0.000 0.633 In
0.000 0.000 0.057 Y
0.000 0.500 0.557 Y
```

**Space group**: Amm2
**ΔE to the lowest computed polymorph**: 4.7 kJ per mole of atoms

=====

CsYInSe | PBE | relaxed

```
CsYInSe
1.0
4.081 0.000 -0.002
-2.037 3.535 -0.004
-0.009 -2.339 9.834
Y In Se Cs
1 1 1 1
direct
0.319 0.500 0.648 Y
0.573 0.009 0.412 In
0.041 0.941 0.810 Se
0.797 0.454 0.079 Cs
```

**Space group**: Cm
**ΔE to the lowest computed polymorph**: 0.2 kJ per mole of atoms

=====

CsYInSe | PBE | relaxed

```
CsYInSe
1.0
-8.409 0.646 5.676
-0.348 -4.073 -0.052
5.120 -0.498 4.786
In Y Cs Se
2 2 2 2
direct
0.589 0.000 0.948 In
0.589 0.500 0.448 In
0.354 0.000 0.536 Y
0.354 0.500 0.036 Y
0.916 0.500 0.892 Cs
0.916 0.000 0.392 Cs
0.192 0.000 0.149 Se
0.192 0.500 0.649 Se
```

**Space group**: Cm
**ΔE to the lowest computed polymorph**: 1.4 kJ per mole of atoms

=====

CsYInSe | PBE | relaxed

```
CsYInSe
1.0
-0.555 3.245 2.091
-3.131 0.857 -2.161
-4.979 -4.379 5.475
In Cs Se Y
1 1 1 1
direct
0.500 0.500 0.582 In
0.000 0.000 0.883 Cs
0.500 0.500 0.228 Se
0.000 0.000 0.359 Y
```

**Space group**: P4mm
**ΔE to the lowest computed polymorph**: 0.0 kJ per mole of atoms

=====

CsYInSe3 | PBE | relaxed

```
CsYInSe3
1.0
4.130 0.000 0.000
0.000 9.292 -0.704
0.000 -3.155 11.195
Se Cs Y In
6 2 2 2
direct
0.250 0.673 0.409 Se
0.250 0.580 0.888 Se
0.750 0.420 0.112 Se
0.250 0.122 0.807 Se
0.750 0.327 0.591 Se
0.750 0.878 0.193 Se
0.750 0.766 0.728 Cs
0.250 0.234 0.272 Cs
0.750 0.358 0.856 Y
0.250 0.642 0.144 Y
0.250 0.130 0.581 In
0.750 0.870 0.419 In
```

**Space group**: P2_1/m

=====

no.,raw formation energy (eV/f.u.)
1,-6.6
2,-9.2
3,-3.3
4,-8.7
5,-7.7
6,-7.5
7,-3.0
8,-3.0
9,-3.2
10,-3.1
11,-3.2
12,-7.8